BeReNi2Pb: relaxed, PBE-GGA.

Lattice parameters (Å, degrees): 4.5467 4.5467 5.2808 90.00 90.00 90.00
With the nearest neighbours (Å) after each atom.
Space group P4/mmm (No. 123)
Unique sites:
Be1 0.0000 0.0000 0.0000 [1 per cell]  4 Pb 3.22, 8 Ni 3.48
Re1 0.5000 0.5000 0.5000 [1 per cell]  4 Ni 2.27
Ni1 0.0000 0.5000 0.5000 [2 per cell]  2 Re 2.27
Pb1 0.5000 0.5000 0.0000 [1 per cell]  2 Re 2.64

Properties
E_tot: -4.6826 eV/atom
Formation energy: 8.03 eV/f.u.

---

NaAlW2I: relaxed, PBE-GGA.

Lattice parameters (Å, degrees): 4.9222 4.9222 4.5862 90.00 90.00 90.00
With the nearest neighbours (Å) after each atom.
Space group P4/mmm (No. 123)
Unique sites:
Na1 0.0000 0.0000 0.0000 [1 per cell]  2 Al 2.29, 4 W 2.46
Al1 0.0000 0.0000 0.5000 [1 per cell]  2 Na 2.29
W1 0.0000 0.5000 0.0000 [2 per cell]  2 Na 2.46
I1 0.5000 0.5000 0.5000 [1 per cell]  8 W 3.36, 4 Al 3.48

Properties
E_tot: -3.7863 eV/atom
Formation energy (no corrections): 13.6 eV per formula unit

---

NdHg4Pb: relaxed, PBE-GGA.

Lattice parameters (Å, degrees): 4.7272 13.8858 4.7727 90.00 90.00 90.00
With the nearest neighbours (Å) after each atom.
Space group Cmmm (No. 65)
Unique sites:
Nd1 0.0000 0.0000 0.0000 [2 per cell]  8 Hg 3.36, 4 Pb 3.36
Hg1 0.0000 0.1700 0.5000 [4 per cell]  8 Hg 3.24-3.36, 2 Pb 3.34, 2 Nd 3.36
Hg2 0.0000 0.3280 0.0000 [4 per cell]  8 Hg 3.21-3.36, 2 Nd 3.36, 2 Pb 3.38
Pb1 0.0000 0.5000 0.5000 [2 per cell]  8 Hg 3.34-3.38, 4 Nd 3.36

Properties
E_tot: -1.8654 eV/atom
Formation energy: -1.51 eV/f.u.
Energy relative to the lowest polymorph listed for this composition: 0.006 eV/f.u.

---

BaSrCu: relaxed, PBE-GGA.

Lattice parameters (Å, degrees): 7.6137 4.4037 8.2634 90.00 108.76 90.00
With the nearest neighbours (Å) after each atom.
Space group Pm (No. 6)
Unique sites:
Ba1 0.0000 0.0000 0.0000 [1 per cell]  3 Cu 3.28-3.34
Ba2 0.1822 0.0000 0.5311 [1 per cell]  3 Cu 3.26-3.32
Sr1 0.5136 0.5000 0.0056 [1 per cell]  3 Cu 3.09-3.22
Sr2 0.6827 0.5000 0.5195 [1 per cell]  3 Cu 3.11-3.22
Cu1 0.7592 0.0000 0.2653 [1 per cell]  2 Cu 2.48
Cu2 0.9092 0.5000 0.2658 [1 per cell]  2 Cu 2.48

Properties
E_tot: -2.5806 eV/atom
Formation energy: -0.04 eV/f.u.
Energy relative to the lowest polymorph listed for this composition: 0.000 eV/f.u.

---

ErU2Ru3: relaxed, PBE-GGA.

Lattice parameters (Å, degrees): 5.7962 5.9982 8.0286 76.50 75.30 62.35
With the nearest neighbours (Å) after each atom.
Space group P-1 (No. 2)
Unique sites:
Er1 0.0937 0.2867 0.2377 [2 per cell]  5 Ru 2.86-3.05, 1 U 3.14
U1 0.2337 0.7514 0.0948 [2 per cell]  2 Ru 2.38-2.47
U2 0.4954 0.2772 0.5608 [2 per cell]  2 Ru 2.38-2.66, 1 U 2.64
Ru1 0.0097 0.7740 0.3872 [2 per cell]  1 U 2.38
Ru2 0.3455 0.1970 0.8637 [2 per cell]  1 U 2.38
Ru3 0.3686 0.7607 0.7766 [2 per cell]  2 U 2.47-2.66

Properties
E_tot: -9.3891 eV/atom
Formation energy: -1.37 eV/f.u.

---

NaPtCN2: relaxed, PBE-GGA.

Lattice parameters (Å, degrees): 4.0975 4.0975 3.9211 90.00 90.00 90.00
With the nearest neighbours (Å) after each atom.
Space group P4/mmm (No. 123)
Unique sites:
Na1 0.0000 0.0000 0.0000 [1 per cell]  8 N 2.84, 4 C 2.90
Pt1 0.5000 0.5000 0.5000 [1 per cell]  2 C 1.96, 4 N 2.05
C1 0.5000 0.5000 0.0000 [1 per cell]  2 Pt 1.96
N1 0.0000 0.5000 0.5000 [2 per cell]  2 Pt 2.05

Properties
E_tot: -4.8456 eV/atom
Formation energy (no corrections): 9.0 eV per formula unit

---

BiBrN2F: relaxed, PBE-GGA.

Lattice parameters (Å, degrees): 4.6788 4.6788 4.4547 90.00 90.00 90.00
With the nearest neighbours (Å) after each atom.
Space group P4/mmm (No. 123)
Unique sites:
Bi1 0.0000 0.0000 0.0000 [1 per cell]  2 F 2.23, 4 N 2.34
Br1 0.5000 0.5000 0.5000 [1 per cell]  8 N 3.23, 4 F 3.31
N1 0.0000 0.5000 0.0000 [2 per cell]  2 Bi 2.34
F1 0.0000 0.0000 0.5000 [1 per cell]  2 Bi 2.23

Properties
E_tot: -3.8902 eV/atom
Formation energy (no corrections): 4.6 eV per formula unit
Energy relative to the lowest polymorph listed for this composition: 0.000 eV/f.u.

---

LiLa2ScFe: relaxed, PBE-GGA.

Lattice parameters (Å, degrees): 5.3134 5.3134 5.0476 90.00 90.00 90.00
With the nearest neighbours (Å) after each atom.
Space group P4/mmm (No. 123)
Unique sites:
Li1 0.0000 0.0000 0.0000 [1 per cell]  8 La 3.66, 4 Sc 3.76
La1 0.0000 0.5000 0.5000 [2 per cell]  2 Fe 2.66
Sc1 0.5000 0.5000 0.0000 [1 per cell]  2 Fe 2.52
Fe1 0.5000 0.5000 0.5000 [1 per cell]  2 Sc 2.52, 4 La 2.66

Properties
E_tot: -5.2246 eV/atom
Formation energy: 0.44 eV/f.u.

---

Tl2TeH: relaxed, PBE-GGA.

Lattice parameters (Å, degrees): 8.5447 4.2878 6.2425 90.00 98.07 90.00
With the nearest neighbours (Å) after each atom.
Space group Cm (No. 8)
Unique sites:
Tl1 0.0000 0.0000 0.0000 [2 per cell]  2 H 2.44
Tl2 0.1834 0.5000 0.5782 [2 per cell]  1 H 2.10
Te1 0.3353 0.0000 0.3092 [2 per cell]  6 Tl 3.12-3.33
H1 0.0753 0.5000 0.8600 [2 per cell]  1 Tl 2.10

Properties
E_tot: -2.6958 eV/atom
Energy relative to the lowest polymorph listed for this composition: 0.000 eV/f.u.

---

DyEr2Sc: relaxed, PBE-GGA.

Lattice parameters (Å, degrees): 3.4827 3.4836 11.3185 81.17 81.15 60.01
With the nearest neighbours (Å) after each atom.
Space group P1 (No. 1)
Unique sites:
Dy1 0.0000 0.0000 0.0000 [1 per cell]  6 Dy 3.48, 6 Er 3.51-3.55
Er1 0.4211 0.4184 0.7414 [1 per cell]  3 Sc 3.33, 6 Er 3.48, 3 Dy 3.51
Er2 0.5830 0.5762 0.2615 [1 per cell]  3 Sc 3.36, 6 Er 3.48, 3 Dy 3.53-3.55
Sc1 0.1681 0.1626 0.5031 [1 per cell]  6 Er 3.33-3.36, 6 Sc 3.48

Properties
E_tot: -4.9890 eV/atom
Formation energy: 0.10 eV/f.u.
Energy relative to the lowest polymorph listed for this composition: 0.039 eV/f.u.

---

LiSn4: relaxed, PBE-GGA.

Lattice parameters (Å, degrees): 7.3926 7.3926 5.4921 90.00 90.00 90.00
With the nearest neighbours (Å) after each atom.
Space group I4/m (No. 87)
Unique sites:
Li1 0.0000 0.0000 0.0000 [2 per cell]  12 Sn 3.16-3.44
Sn1 0.1964 0.8014 0.5000 [8 per cell]  4 Sn 2.92-2.96, 1 Li 3.16

Properties
E_tot: -3.6293 eV/atom
Formation energy: -0.22 eV/f.u.
Energy relative to the lowest polymorph listed for this composition: 0.104 eV/f.u.

---

YTlTe2: relaxed, PBE-GGA.

Lattice parameters (Å, degrees): 4.4664 4.4664 9.0721 90.00 90.00 120.00
With the nearest neighbours (Å) after each atom.
Space group P3m1 (No. 156)
Unique sites:
Y1 0.0000 0.0000 0.0000 [1 per cell]  6 Te 3.05-3.17
Tl1 0.3333 0.6667 0.4356 [1 per cell]  4 Te 3.33-3.49
Te1 0.3333 0.6667 0.8205 [1 per cell]  3 Y 3.05
Te2 0.6667 0.3333 0.2041 [1 per cell]  3 Y 3.17, 3 Tl 3.33

Properties
E_tot: -4.7786 eV/atom
Formation energy (no corrections): -4.0 eV per formula unit

---

Zr2SbMo: relaxed, PBE-GGA.

Lattice parameters (Å, degrees): 6.4088 6.6113 3.8268 90.00 90.00 90.00
With the nearest neighbours (Å) after each atom.
Space group Cmmm (No. 65)
Unique sites:
Zr1 0.2500 0.2500 0.0000 [4 per cell]  4 Mo 2.99, 4 Sb 2.99, 4 Zr 3.20-3.31
Sb1 0.0000 0.0000 0.5000 [2 per cell]  8 Zr 2.99, 4 Mo 3.20-3.31
Mo1 0.0000 0.5000 0.5000 [2 per cell]  8 Zr 2.99, 4 Sb 3.20-3.31

Properties
E_tot: -8.2921 eV/atom
Formation energy (no corrections): -1.1 eV per formula unit

---

Sc2SN: relaxed, PBE-GGA.

Lattice parameters (Å, degrees): 3.9489 3.9489 19.3126 90.00 90.00 120.00
With the nearest neighbours (Å) after each atom.
Space group R-3m (No. 166, hexagonal axes)
Unique sites:
Sc1 0.0000 0.0000 0.0961 [6 per cell]  1 N 1.86
S1 0.0000 0.0000 0.5000 [3 per cell]  6 Sc 2.66
N1 0.0000 0.0000 0.0000 [3 per cell]  2 Sc 1.86

Properties
E_tot: -7.3024 eV/atom
Formation energy (no corrections): -4.1 eV per formula unit
Energy relative to the lowest polymorph listed for this composition: 3.411 eV/f.u.

---

ZrMoPt: relaxed, PBE-GGA.

Lattice parameters (Å, degrees): 3.4763 4.1308 7.6753 90.00 90.00 90.00
With the nearest neighbours (Å) after each atom.
Space group Pmmn (No. 59, origin choice 2)
Unique sites:
Zr1 0.2500 0.2500 0.1456 [2 per cell]  5 Pt 2.76-2.82
Mo1 0.2500 0.7500 0.5073 [2 per cell]  4 Mo 2.70, 4 Pt 2.80-2.93
Pt1 0.2500 0.2500 0.7787 [2 per cell]  5 Zr 2.76-2.82, 4 Mo 2.80-2.93

Properties
E_tot: -8.9953 eV/atom
Formation energy: -1.57 eV/f.u.
Energy relative to the lowest polymorph listed for this composition: 0.000 eV/f.u.

---

Pr3BiH3: relaxed, PBE-GGA.

Lattice parameters (Å, degrees): 7.1199 7.1199 21.8556 90.00 90.00 120.00
With the nearest neighbours (Å) after each atom.
Space group R-3 (No. 148, hexagonal axes)
Unique sites:
Pr1 0.0002 0.3350 0.0671 [18 per cell]  4 H 2.36-2.47
Bi1 0.0000 0.0000 0.1662 [6 per cell]  6 Pr 3.22, 3 H 3.60
H1 0.0021 0.3290 0.9592 [18 per cell]  4 Pr 2.36-2.47

Properties
E_tot: -4.6200 eV/atom
Energy relative to the lowest polymorph listed for this composition: 0.000 eV/f.u.

---

ZrTcMo: relaxed, PBE-GGA.

Lattice parameters (Å, degrees): 4.5867 11.1821 6.4479 90.00 90.00 90.00
With the nearest neighbours (Å) after each atom.
Space group Amm2 (No. 38)
Unique sites:
Zr1 0.0000 0.0000 0.0000 [2 per cell]  5 Tc 2.78-2.99
Zr2 0.0000 0.2150 0.3546 [4 per cell]  5 Tc 2.77-2.99
Tc1 0.0000 0.0000 0.5689 [2 per cell]  6 Mo 2.77, 3 Zr 2.77-2.78
Tc2 0.5000 0.1665 0.0693 [4 per cell]  3 Mo 2.50
Mo1 0.5000 0.0000 0.3282 [2 per cell]  4 Tc 2.50-2.77, 2 Mo 2.69
Mo2 0.5000 0.1207 0.6900 [4 per cell]  4 Tc 2.50-2.77, 2 Mo 2.69-2.70

Properties
E_tot: -9.9403 eV/atom
Formation energy: -0.08 eV/f.u.
Energy relative to the lowest polymorph listed for this composition: 0.619 eV/f.u.

---

MnAl2FeTe: relaxed, PBE-GGA.

Lattice parameters (Å, degrees): 5.2659 5.2659 4.8881 90.00 90.00 90.00
With the nearest neighbours (Å) after each atom.
Space group P4/mmm (No. 123)
Unique sites:
Mn1 0.0000 0.0000 0.0000 [1 per cell]  2 Te 2.44
Al1 0.0000 0.5000 0.5000 [2 per cell]  2 Te 2.63
Fe1 0.5000 0.5000 0.0000 [1 per cell]  8 Al 3.59, 4 Mn 3.72
Te1 0.0000 0.0000 0.5000 [1 per cell]  2 Mn 2.44, 4 Al 2.63

Properties
E_tot: -4.1884 eV/atom
Formation energy (no corrections): 7.3 eV per formula unit

---

CuAsCl2: relaxed, PBE-GGA.

Lattice parameters (Å, degrees): 3.4716 6.0810 8.6087 90.00 90.00 90.00
With the nearest neighbours (Å) after each atom.
Space group Cmm2 (No. 35)
Unique sites:
Cu1 0.0000 0.0000 0.0000 [2 per cell]  2 Cl 2.24, 2 As 2.41
As1 0.0000 0.5000 0.8061 [2 per cell]  2 Cu 2.41, 2 Cl 2.63
Cl1 0.0000 0.0000 0.5765 [2 per cell]  2 As 2.63
Cl2 0.0000 0.5000 0.1650 [2 per cell]  2 Cu 2.24

Properties
E_tot: -3.2235 eV/atom
Formation energy (no corrections): -0.5 eV per formula unit
Energy relative to the lowest polymorph listed for this composition: 0.950 eV/f.u.

---

WAu2: relaxed, PBE-GGA.

Lattice parameters (Å, degrees): 6.6632 6.6632 5.0117 90.00 90.00 90.00
With the nearest neighbours (Å) after each atom.
Space group I4/mcm (No. 140)
Unique sites:
W1 0.0000 0.0000 0.2500 [4 per cell]  2 W 2.51
Au1 0.1521 0.3479 0.0000 [8 per cell]  4 W 2.82, 3 Au 2.87-3.11

Properties
E_tot: -5.9642 eV/atom
Formation energy: 1.62 eV/f.u.

---

LiHf2PbN: relaxed, PBE-GGA.

Lattice parameters (Å, degrees): 4.7083 4.7083 4.3636 90.00 90.00 90.00
With the nearest neighbours (Å) after each atom.
Space group P4/mmm (No. 123)
Unique sites:
Li1 0.0000 0.0000 0.0000 [1 per cell]  2 Pb 2.18, 4 Hf 2.35
Hf1 0.0000 0.5000 0.0000 [2 per cell]  2 Li 2.35
Pb1 0.0000 0.0000 0.5000 [1 per cell]  2 Li 2.18
N1 0.5000 0.5000 0.5000 [1 per cell]  8 Hf 3.21, 4 Pb 3.33

Properties
E_tot: -5.3281 eV/atom
Formation energy (no corrections): 7.2 eV per formula unit

---

Si2HgRh: relaxed, PBE-GGA.

Lattice parameters (Å, degrees): 5.5932 8.9495 3.2570 90.00 125.03 90.00
With the nearest neighbours (Å) after each atom.
Space group C2/m (No. 12)
Unique sites:
Si1 0.2500 0.2500 0.0000 [4 per cell]  2 Hg 2.64, 2 Rh 2.64, 4 Si 2.80-2.82
Hg1 0.0000 0.0000 0.0000 [2 per cell]  4 Si 2.64, 4 Rh 2.80-2.82
Rh1 0.0000 0.5000 0.0000 [2 per cell]  4 Si 2.64, 4 Hg 2.80-2.82

Properties
E_tot: -4.3024 eV/atom
Formation energy (no corrections): 1.3 eV per formula unit

---

ZrZn3Ni: relaxed, PBE-GGA.

Lattice parameters (Å, degrees): 6.3408 3.8139 6.7318 90.00 104.87 90.00
With the nearest neighbours (Å) after each atom.
Space group P2_1/m (No. 11)
Unique sites:
Zr1 0.2018 0.2500 0.1609 [2 per cell]  2 Ni 2.71, 4 Zn 2.83-3.01
Zn1 0.0741 0.2500 0.6537 [2 per cell]  1 Ni 2.51, 5 Zn 2.58-2.79
Zn2 0.3007 0.7500 0.8871 [2 per cell]  3 Ni 2.41-2.50, 3 Zn 2.57-2.65
Zn3 0.3393 0.7500 0.5166 [2 per cell]  3 Ni 2.41-2.53, 2 Zn 2.57-2.58
Ni1 0.4841 0.2500 0.7604 [2 per cell]  7 Zn 2.41-2.53

Properties
E_tot: -3.8575 eV/atom
Formation energy: -1.14 eV/f.u.
Energy relative to the lowest polymorph listed for this composition: 0.000 eV/f.u.

---

CaPm2Hg8: relaxed, PBE-GGA.

Lattice parameters (Å, degrees): 5.2137 7.2844 15.0725 90.00 90.00 90.00
With the nearest neighbours (Å) after each atom.
Space group Immm (No. 71)
Unique sites:
Ca1 0.0000 0.0000 0.0000 [2 per cell]  8 Hg 3.03-3.36
Pm1 0.0000 0.0000 0.3058 [4 per cell]  10 Hg 3.12-3.42
Hg1 0.0000 0.2084 0.5000 [4 per cell]  3 Hg 3.04-3.20, 2 Pm 3.30, 2 Ca 3.36
Hg2 0.0000 0.2865 0.1458 [8 per cell]  1 Ca 3.03, 4 Hg 3.11-3.34, 3 Pm 3.12-3.19
Hg3 0.0000 0.5000 0.3414 [4 per cell]  8 Hg 3.20-3.34, 2 Pm 3.42, 2 Ca 3.54

Properties
E_tot: -1.6104 eV/atom
Formation energy: -3.80 eV/f.u.

---

Li3Ce2TiSe6: relaxed, PBE-GGA.

Lattice parameters (Å, degrees): 17.4163 4.0443 7.9989 90.00 103.07 90.00
With the nearest neighbours (Å) after each atom.
Space group C2/m (No. 12)
Unique sites:
Li1 0.0000 0.0000 0.0000 [2 per cell]  6 Se 2.77-2.96
Li2 0.1634 0.5000 0.3267 [4 per cell]  5 Se 2.67-2.80
Ce1 0.1610 0.5000 0.8159 [4 per cell]  6 Se 2.84-2.98
Ti1 0.0000 0.0000 0.5000 [2 per cell]  6 Se 2.71-2.73
Se1 0.0066 0.5000 0.2739 [4 per cell]  3 Li 2.67-2.96, 2 Ti 2.73, 1 Ce 2.84
Se2 0.1595 0.0000 0.5589 [4 per cell]  1 Ti 2.71, 3 Li 2.76-3.01, 2 Ce 2.88
Se3 0.1635 0.0000 0.0845 [4 per cell]  3 Li 2.77-2.80, 3 Ce 2.94-2.98

Properties
E_tot: -5.3124 eV/atom
Formation energy (no corrections): -17.3 eV per formula unit

---

Li4TlSn: relaxed, PBE-GGA.

Lattice parameters (Å, degrees): 7.8170 7.8170 7.8170 90.00 90.00 90.00
With the nearest neighbours (Å) after each atom.
Space group F-43m (No. 216)
Unique sites:
Li1 0.1241 0.1241 0.1241 [16 per cell]  6 Li 2.74-2.78
Tl1 0.0000 0.0000 0.5000 [4 per cell]  12 Li 3.24, 4 Sn 3.38
Sn1 0.2500 0.2500 0.7500 [4 per cell]  12 Li 3.24, 4 Tl 3.38

Properties
E_tot: -2.4623 eV/atom
Formation energy: -0.75 eV/f.u.
Energy relative to the lowest polymorph listed for this composition: 1.020 eV/f.u.